[1]
The following is a DFT calculation (PBE) of a relaxed structure of BHPb2.

## Properties
Space group = Fm-3m, No. 225
E above lowest polymorph = 154 meV/atom

Cell lengths 4.6585, 4.6585, 4.6585 Å; angles 60.00, 60.00, 60.00 degrees
Fractional positions:
B 0.0000 0.0000 0.0000
H 0.5000 0.5000 0.5000
Pb 0.2500 0.2500 0.2500
Pb 0.7500 0.7500 0.7500

[2]
The following is a DFT calculation (PBE) of a relaxed structure of BH2Pb.

## Properties
Space group = I4_1/amd, No. 141
E above lowest polymorph = 0 meV/atom

Cell lengths 5.6504, 5.6504, 5.6504 Å; angles 135.19, 135.19, 65.24 degrees
Fractional positions:
B 0.3750 0.6250 0.7500
B 0.6250 0.3750 0.2500
H 0.0000 0.5000 0.5000
H 0.5000 0.0000 0.0000
H 0.5000 0.5000 0.0000
H 0.5000 0.5000 0.5000
Pb 0.1250 0.8750 0.2500
Pb 0.8750 0.1250 0.7500

[3]
The following is a DFT calculation (PBE) of a relaxed structure of BHPd6Pb2.

## Properties
Space group = C2/m, No. 12
Total energy = -50.79 eV/cell

Cell lengths 5.9220, 5.9220, 5.9248 Å; angles 118.72, 118.72, 62.30 degrees
Fractional positions:
B 0.0000 0.0000 0.0000
H 0.5000 0.5000 0.5000
Pd 0.2510 0.7458 0.7515
Pd 0.2539 0.2539 0.2569
Pd 0.2542 0.7490 0.2485
Pd 0.7458 0.2510 0.7515
Pd 0.7461 0.7461 0.7431
Pd 0.7490 0.2542 0.2485
Pb 0.2475 0.2475 0.7499
Pb 0.7525 0.7525 0.2501

[4]
The following is a DFT calculation (PBE) of a relaxed structure of BHPt6Pb.

## Properties
Space group = Imma, No. 74
Total energy = -100.70 eV/cell

Cell lengths 7.4750, 7.4750, 7.4750 Å; angles 121.80, 120.69, 87.86 degrees
Fractional positions:
B 0.0000 0.0000 0.0000
B 0.5000 0.0000 0.5000
H 0.5000 0.0000 0.0000
H 0.5000 0.5000 0.5000
Pt 0.1543 0.9043 0.2500
Pt 0.1586 0.3557 0.2677
Pt 0.1586 0.8909 0.8029
Pt 0.4120 0.1091 0.7677
Pt 0.4120 0.6443 0.3029
Pt 0.4727 0.7227 0.7500
Pt 0.5273 0.2773 0.2500
Pt 0.5880 0.3557 0.6971
Pt 0.5880 0.8909 0.2323
Pt 0.8414 0.1091 0.1971
Pt 0.8414 0.6443 0.7323
Pt 0.8457 0.0957 0.7500
Pb 0.1200 0.3700 0.7500
Pb 0.8800 0.6300 0.2500

[5]
The following is a DFT calculation (PBE) of a relaxed structure of RbB2H8Pb.

## Properties
Space group = R-3m, No. 166
Total energy = -46.12 eV/cell

Cell lengths 7.5918, 7.5918, 7.5918 Å; angles 38.91, 38.91, 38.91 degrees
Fractional positions:
Rb 0.0000 0.0000 0.0000
B 0.2415 0.2415 0.2415
B 0.7585 0.7585 0.7585
H 0.0888 0.0888 0.4860
H 0.0888 0.4860 0.0888
H 0.2999 0.2999 0.2999
H 0.4860 0.0888 0.0888
H 0.5140 0.9112 0.9112
H 0.7001 0.7001 0.7001
H 0.9112 0.5140 0.9112
H 0.9112 0.9112 0.5140
Pb 0.5000 0.5000 0.5000

[6]
The following is a DFT calculation (PBE) of a relaxed structure of BHRh2Pb.

## Properties
Space group = P4/mmm, No. 123
Total energy = -25.24 eV/cell

Cell lengths 4.2398, 4.2398, 3.4939 Å; angles 90.00, 90.00, 90.00 degrees
Fractional positions:
B 0.0000 0.0000 0.0000
H 0.0000 0.0000 0.5000
Rh 0.0000 0.5000 0.5000
Rh 0.5000 0.0000 0.5000
Pb 0.5000 0.5000 0.0000

What did the second record say?
The following is a DFT calculation (PBE) of a relaxed structure of BH2Pb.

## Properties
Space group = I4_1/amd, No. 141
E above lowest polymorph = 0 meV/atom

Cell lengths 5.6504, 5.6504, 5.6504 Å; angles 135.19, 135.19, 65.24 degrees
Fractional positions:
B 0.3750 0.6250 0.7500
B 0.6250 0.3750 0.2500
H 0.0000 0.5000 0.5000
H 0.5000 0.0000 0.0000
H 0.5000 0.5000 0.0000
H 0.5000 0.5000 0.5000
Pb 0.1250 0.8750 0.2500
Pb 0.8750 0.1250 0.7500